The following is a DFT calculation (PBE) of a relaxed structure of PuIn3Cl6. Values from VASP.

Values from the calculation:
mass density = 3.60 Mg/m³
distance to the lowest polymorph of the same formula = 0.071 eV per atom
formation energy (no corrections) = -11.89 eV per formula unit

Geometry as Quantum ESPRESSO input:
```
&SYSTEM
  ibrav = 0, nat = 10, ntyp = 3
/
ATOMIC_SPECIES
Pu 244.00 Pu.upf
In 114.82 In.upf
Cl 35.45 Cl.upf
CELL_PARAMETERS angstrom
0.0000 5.6156 7.0108
4.6904 0.0000 7.0108
4.6904 5.6156 0.0000
ATOMIC_POSITIONS crystal
Pu 0.0000 0.0000 0.0000
In 0.2500 0.2500 0.2500
In 0.5000 0.5000 0.5000
In 0.7500 0.7500 0.7500
Cl 0.0822 0.6531 0.9178
Cl 0.2376 0.7624 0.2376
Cl 0.3469 0.9178 0.6531
Cl 0.6531 0.0822 0.3469
Cl 0.7624 0.2376 0.7624
Cl 0.9178 0.3469 0.0822
```



The following is a DFT calculation (PBE) of a relaxed structure of Sm2TlPd5. Values from VASP.

Values from the calculation:
mass density = 10.94 Mg/m³
formation energy = -0.6260 eV/atom

Geometry as Quantum ESPRESSO input:
```
&SYSTEM
  ibrav = 0, nat = 16, ntyp = 3
/
ATOMIC_SPECIES
Sm 150.36 Sm.upf
Tl 204.38 Tl.upf
Pd 106.42 Pd.upf
CELL_PARAMETERS angstrom
6.1526 0.0000 0.0000
0.0000 6.1526 0.0000
0.0000 0.0000 8.3162
ATOMIC_POSITIONS crystal
Sm 0.0000 0.5000 0.0000
Sm 0.0000 0.5000 0.5000
Sm 0.5000 0.0000 0.0000
Sm 0.5000 0.0000 0.5000
Tl 0.0000 0.0000 0.4485
Tl 0.5000 0.5000 0.9485
Pd 0.0000 0.0000 0.0004
Pd 0.2360 0.2360 0.7427
Pd 0.2360 0.7640 0.7427
Pd 0.2640 0.2640 0.2427
Pd 0.2640 0.7360 0.2427
Pd 0.5000 0.5000 0.5004
Pd 0.7360 0.2640 0.2427
Pd 0.7360 0.7360 0.2427
Pd 0.7640 0.2360 0.7427
Pd 0.7640 0.7640 0.7427
```



The following is a DFT calculation (PBE) of a relaxed structure of HfSiF2. Values from VASP.

Values from the calculation:
mass density = 7.50 Mg/m³
distance to the lowest polymorph of the same formula = 0.772 eV per atom
formation energy (no corrections) = -3.81 eV per formula unit

Geometry as Quantum ESPRESSO input:
```
&SYSTEM
  ibrav = 0, nat = 16, ntyp = 3
/
ATOMIC_SPECIES
Hf 178.49 Hf.upf
Si 28.09 Si.upf
F 19.00 F.upf
CELL_PARAMETERS angstrom
6.0044 0.0000 0.0000
0.0000 6.0044 0.0000
0.0000 0.0000 6.0044
ATOMIC_POSITIONS crystal
Hf 0.0000 0.0000 0.0000
Hf 0.0000 0.5000 0.5000
Hf 0.5000 0.0000 0.5000
Hf 0.5000 0.5000 0.0000
Si 0.0000 0.0000 0.5000
Si 0.0000 0.5000 0.0000
Si 0.5000 0.0000 0.0000
Si 0.5000 0.5000 0.5000
F 0.2500 0.2500 0.2500
F 0.2500 0.2500 0.7500
F 0.2500 0.7500 0.2500
F 0.2500 0.7500 0.7500
F 0.7500 0.2500 0.2500
F 0.7500 0.2500 0.7500
F 0.7500 0.7500 0.2500
F 0.7500 0.7500 0.7500
```



The following is a DFT calculation (PBE) of a relaxed structure of Tl2POs. Values from VASP.

Values from the calculation:
mass density = 13.30 Mg/m³
distance to the lowest polymorph of the same formula = 0.953 eV per atom
formation energy = 1.1108 eV/atom

Geometry as Quantum ESPRESSO input:
```
&SYSTEM
  ibrav = 0, nat = 8, ntyp = 3
/
ATOMIC_SPECIES
Tl 204.38 Tl.upf
P 30.97 P.upf
Os 190.23 Os.upf
CELL_PARAMETERS angstrom
4.3683 0.0000 0.0000
0.0000 4.3683 0.0000
0.0000 0.0000 8.2462
ATOMIC_POSITIONS crystal
Tl 0.0000 0.5000 0.2500
Tl 0.0000 0.5000 0.7500
Tl 0.5000 0.0000 0.2500
Tl 0.5000 0.0000 0.7500
P 0.0000 0.0000 0.0000
P 0.5000 0.5000 0.5000
Os 0.0000 0.0000 0.5000
Os 0.5000 0.5000 0.0000
```



The following is a DFT calculation (PBE) of a relaxed structure of NaTc2Sb. Values from VASP.

Values from the calculation:
mass density = 7.05 Mg/m³
formation energy (no corrections) = 3.94 eV per formula unit

Geometry as Quantum ESPRESSO input:
```
&SYSTEM
  ibrav = 0, nat = 16, ntyp = 3
/
ATOMIC_SPECIES
Na 22.99 Na.upf
Tc 98.00 Tc.upf
Sb 121.76 Sb.upf
CELL_PARAMETERS angstrom
7.7792 0.0000 0.0000
0.0000 7.7792 0.0000
0.0000 0.0000 5.3068
ATOMIC_POSITIONS crystal
Na 0.0000 0.0000 0.0000
Na 0.0000 0.5000 0.2500
Na 0.5000 0.0000 0.7500
Na 0.5000 0.5000 0.5000
Tc 0.2078 0.2500 0.6250
Tc 0.2500 0.7078 0.8750
Tc 0.2500 0.7922 0.3750
Tc 0.2922 0.2500 0.1250
Tc 0.7078 0.7500 0.1250
Tc 0.7500 0.2078 0.3750
Tc 0.7500 0.2922 0.8750
Tc 0.7922 0.7500 0.6250
Sb 0.0000 0.0000 0.5000
Sb 0.0000 0.5000 0.7500
Sb 0.5000 0.0000 0.2500
Sb 0.5000 0.5000 0.0000
```



The following is a DFT calculation (PBE) of a relaxed structure of LaZn6Rh4. Values from VASP.

Values from the calculation:
mass density = 7.69 Mg/m³
formation energy = -0.2276 eV/atom

Geometry as Quantum ESPRESSO input:
```
&SYSTEM
  ibrav = 0, nat = 11, ntyp = 3
/
ATOMIC_SPECIES
La 138.91 La.upf
Zn 65.41 Zn.upf
Rh 102.91 Rh.upf
CELL_PARAMETERS angstrom
-3.2888 3.2888 4.7085
3.2888 -3.2888 4.7085
3.2888 3.2888 -4.7085
ATOMIC_POSITIONS crystal
La 0.0000 0.0000 0.0000
Zn 0.0000 0.5000 0.5000
Zn 0.1119 0.4913 0.0000
Zn 0.4913 0.1119 0.0000
Zn 0.5000 0.0000 0.5000
Zn 0.5087 0.5087 0.6206
Zn 0.8881 0.8881 0.3794
Rh 0.2489 0.2489 0.6562
Rh 0.4074 0.7511 0.0000
Rh 0.5926 0.5926 0.3438
Rh 0.7511 0.4074 0.0000
```



The following is a DFT calculation (PBE) of a relaxed structure of Tm2In3Hg. Values from VASP.

Values from the calculation:
mass density = 9.93 Mg/m³
distance to the lowest polymorph of the same formula = 0.000 eV per atom
formation energy = -0.3549 eV/atom

Geometry as Quantum ESPRESSO input:
```
&SYSTEM
  ibrav = 0, nat = 6, ntyp = 3
/
ATOMIC_SPECIES
Tm 168.93 Tm.upf
In 114.82 In.upf
Hg 200.59 Hg.upf
CELL_PARAMETERS angstrom
3.4697 0.0000 0.0000
0.0000 4.9762 0.0000
0.0000 0.0000 8.5470
ATOMIC_POSITIONS crystal
Tm 0.0000 0.0000 0.0000
Tm 0.0000 0.5000 0.4989
In 0.5000 0.0000 0.6635
In 0.5000 0.5000 0.1672
In 0.5000 0.5000 0.8325
Hg 0.5000 0.0000 0.3307
```



The following is a DFT calculation (PBE) of a relaxed structure of Ta2BeGa4. Values from VASP.

Values from the calculation:
mass density = 8.42 Mg/m³
formation energy = 0.5401 eV/atom

Geometry as Quantum ESPRESSO input:
```
&SYSTEM
  ibrav = 0, nat = 14, ntyp = 3
/
ATOMIC_SPECIES
Ta 180.95 Ta.upf
Be 9.01 Be.upf
Ga 69.72 Ga.upf
CELL_PARAMETERS angstrom
4.4907 0.0000 0.0000
0.0000 4.4907 0.0000
0.0000 0.0000 12.7021
ATOMIC_POSITIONS crystal
Ta 0.0000 0.0000 0.1118
Ta 0.0000 0.0000 0.8882
Ta 0.5000 0.5000 0.3882
Ta 0.5000 0.5000 0.6118
Be 0.0000 0.0000 0.5000
Be 0.5000 0.5000 0.0000
Ga 0.0000 0.0000 0.3217
Ga 0.0000 0.0000 0.6783
Ga 0.0000 0.5000 0.0000
Ga 0.0000 0.5000 0.5000
Ga 0.5000 0.0000 0.0000
Ga 0.5000 0.0000 0.5000
Ga 0.5000 0.5000 0.1783
Ga 0.5000 0.5000 0.8217
```



The following is a DFT calculation (PBE) of a relaxed structure of Mg2TlCu2. Values from VASP.

Values from the calculation:
mass density = 6.94 Mg/m³
distance to the lowest polymorph of the same formula = 0.000 eV per atom
formation energy = -0.0230 eV/atom

Geometry as Quantum ESPRESSO input:
```
&SYSTEM
  ibrav = 0, nat = 10, ntyp = 3
/
ATOMIC_SPECIES
Mg 24.30 Mg.upf
Tl 204.38 Tl.upf
Cu 63.55 Cu.upf
CELL_PARAMETERS angstrom
7.1591 0.0000 0.0000
0.0000 7.1591 0.0000
0.0000 0.0000 3.5485
ATOMIC_POSITIONS crystal
Mg 0.1636 0.3364 0.0000
Mg 0.3364 0.8364 0.0000
Mg 0.6636 0.1636 0.0000
Mg 0.8364 0.6636 0.0000
Tl 0.0000 0.0000 0.5000
Tl 0.5000 0.5000 0.5000
Cu 0.1245 0.6245 0.5000
Cu 0.3755 0.1245 0.5000
Cu 0.6245 0.8755 0.5000
Cu 0.8755 0.3755 0.5000
```



The following is a DFT calculation (PBE) of a relaxed structure of SrSn2IrPd. Values from VASP.

Values from the calculation:
mass density = 8.67 Mg/m³
formation energy = -0.5174 eV/atom

Geometry as Quantum ESPRESSO input:
```
&SYSTEM
  ibrav = 0, nat = 10, ntyp = 4
/
ATOMIC_SPECIES
Sr 87.62 Sr.upf
Sn 118.71 Sn.upf
Ir 192.22 Ir.upf
Pd 106.42 Pd.upf
CELL_PARAMETERS angstrom
4.6250 0.0000 0.0000
0.0000 4.6250 0.0000
0.0000 0.0000 11.1690
ATOMIC_POSITIONS crystal
Sr 0.0000 0.0000 0.0000
Sr 0.5000 0.5000 0.5000
Sn 0.0000 0.0000 0.3662
Sn 0.0000 0.0000 0.6338
Sn 0.5000 0.5000 0.1338
Sn 0.5000 0.5000 0.8662
Ir 0.0000 0.5000 0.7500
Ir 0.5000 0.0000 0.2500
Pd 0.0000 0.5000 0.2500
Pd 0.5000 0.0000 0.7500
```



The following is a DFT calculation (PBE) of a relaxed structure of Ho5SnBi4. Values from VASP.

Values from the calculation:
mass density = 9.51 Mg/m³
formation energy = -0.7675 eV/atom

Geometry as Quantum ESPRESSO input:
```
&SYSTEM
  ibrav = 0, nat = 10, ntyp = 3
/
ATOMIC_SPECIES
Ho 164.93 Ho.upf
Sn 118.71 Sn.upf
Bi 208.98 Bi.upf
CELL_PARAMETERS angstrom
-4.9711 4.9711 3.1433
4.9711 -4.9711 3.1433
4.9711 4.9711 -3.1433
ATOMIC_POSITIONS crystal
Ho 0.0000 0.0000 0.0000
Ho 0.2048 0.5996 0.8044
Ho 0.4004 0.2048 0.6051
Ho 0.5996 0.7952 0.3949
Ho 0.7952 0.4004 0.1956
Sn 0.5000 0.5000 0.0000
Bi 0.0977 0.3013 0.3990
Bi 0.3013 0.9023 0.2036
Bi 0.6987 0.0977 0.7964
Bi 0.9023 0.6987 0.6010
```



What is the mass density in the eighth record? 8.42 Mg/m³



The highest mass density belongs to which entry? Tl2POs